Density functional theory data (GGA-PBE) for a relaxed Dy6C2NCl2 crystal.

Cell: 6.284 10.852 6.792 Å, 90.00 108.33 90.00°
Space group C2/m (No. 12)
Symmetry-distinct sites (fractional):
1 Dy 0.230 0.000 0.202 [4 per cell]
2 Dy 0.236 0.338 0.200 [8 per cell]
3 C 0.000 0.169 0.000 [4 per cell]
4 N 0.000 0.500 0.000 [2 per cell]
5 Cl 0.000 0.331 0.500 [4 per cell]

Values from the calculation:
raw total energy = -139.8 eV for the cell shown